## TiNb2RuN (PBE-GGA)

Data for an optimized crystal structure of TiNb2RuN.

For the formation energy (no corrections), the calculation gives -0.58 eV/atom. The calculation puts the final energy at -9.71 eV per atom. The value obtained for the magnetic moment is 0.00 μB per formula unit. Its density of states at the Fermi level is 6.05 states/eV/f.u.

Cell: 4.286 4.286 3.991 Å, 90.00 90.00 90.00°
Space group P4/mmm (No. 123)
Symmetry-distinct sites (fractional):
Ti: 0.000 0.000 0.000 x1
Nb: 0.000 0.500 0.500 x2
Ru: 0.500 0.500 0.000 x1
N: 0.000 0.000 0.500 x1

## Nb2VRuN (PBE-GGA)

Data for an optimized crystal structure of Nb2VRuN.

For the formation energy (no corrections), the calculation gives -0.50 eV/atom. The calculation puts the final energy at -9.87 eV per atom. The value obtained for the magnetic moment is 0.00 μB per formula unit. Its density of states at the Fermi level is 4.91 states/eV/f.u.

Cell: 4.310 4.310 3.802 Å, 90.00 90.00 90.00°
Space group P4/mmm (No. 123)
Symmetry-distinct sites (fractional):
Nb: 0.000 0.500 0.000 x2
V: 0.000 0.000 0.500 x1
Ru: 0.500 0.500 0.500 x1
N: 0.000 0.000 0.000 x1

## NbV2RuN (PBE-GGA)

Data for an optimized crystal structure of NbV2RuN.

For the formation energy (no corrections), the calculation gives -0.51 eV/atom. The calculation puts the final energy at -9.70 eV per atom. The value obtained for the magnetic moment is 0.00 μB per formula unit. Its density of states at the Fermi level is 5.23 states/eV/f.u.

Cell: 3.908 3.908 4.293 Å, 90.00 90.00 90.00°
Space group P4/mmm (No. 123)
Symmetry-distinct sites (fractional):
Nb: 0.000 0.000 0.000 x1
V: 0.000 0.500 0.500 x2
Ru: 0.500 0.500 0.000 x1
N: 0.000 0.000 0.500 x1

## ZrNb2RuN (PBE-GGA)

Data for an optimized crystal structure of ZrNb2RuN.

For the formation energy (no corrections), the calculation gives -0.36 eV/atom. The calculation puts the final energy at -9.62 eV per atom. The value obtained for the magnetic moment is 0.00 μB per formula unit. Its density of states at the Fermi level is 7.09 states/eV/f.u.

Cell: 4.325 4.325 4.180 Å, 90.00 90.00 90.00°
Space group P4/mmm (No. 123)
Symmetry-distinct sites (fractional):
Zr: 0.000 0.000 0.000 x1
Nb: 0.000 0.500 0.500 x2
Ru: 0.500 0.500 0.000 x1
N: 0.500 0.500 0.500 x1

## NbS3N (PBE-GGA)

Data for an optimized crystal structure of NbS3N.

For the formation energy (no corrections), the calculation gives 0.77 eV/atom. The calculation puts the final energy at -5.39 eV per atom. The value obtained for the magnetic moment is 0.82 μB per formula unit. Its density of states at the Fermi level is 2.66 states/eV/f.u. Its relative energy among the computed polymorphs is 0 meV/atom.

Cell: 4.090 4.090 4.090 Å, 90.00 90.00 90.00°
Space group Pm-3m (No. 221)
Symmetry-distinct sites (fractional):
Nb: 0.000 0.000 0.000 x1
S: 0.000 0.500 0.500 x3
N: 0.500 0.500 0.500 x1

## NbSN2 (PBE-GGA)

Data for an optimized crystal structure of NbSN2.

For the formation energy (no corrections), the calculation gives 0.94 eV/atom. The calculation puts the final energy at -6.77 eV per atom. The value obtained for the magnetic moment is 0.00 μB per formula unit. Its density of states at the Fermi level is 2.20 states/eV/f.u.

Cell: 2.8945 2.8945 19.0664 Å, 90.00 90.00 120.00°
Space group R-3m (No. 166, hexagonal axes)
Symmetry-distinct sites (fractional):
Nb: 0.0000 0.0000 0.0000 x3
S: 0.0000 0.0000 0.5000 x3
N: 0.0000 0.0000 0.1114 x6

no.,volume (Å³ per atom)
1,14.66
2,14.13
3,13.11
4,15.63
5,13.69
6,11.53